1.
UBeGa2: optimized geometry, PBE.

Structure (extended XYZ):
```
4
Lattice="-2.099 -0.059 3.378 -2.550 -2.970 0.706 2.268 -3.735 3.686" Properties=species:S:1:pos:R:3 pbc="T T T"
Ga -0.187 -1.983 2.191
Ga -2.195 -4.781 5.579
U 0.000 0.000 0.000
Be -1.191 -3.382 3.885
```

Output
The calculation puts the formation energy at 0.051 eV/atom. The size of the total moment comes out at 2.5 μB per cell. As for the space group: R-3m, No. 166.

=====

2.
Cs3NpBi3S8: optimized geometry, PBE.

Structure (extended XYZ):
```
15
Lattice="8.294 0.000 0.000 -4.147 7.182 -0.031 0.000 -4.756 8.272" Properties=species:S:1:pos:R:3 pbc="T T T"
S 0.000 2.404 2.552
S 4.147 2.517 2.631
S -2.171 3.671 5.593
S 1.976 -1.244 2.648
Bi 2.073 1.213 4.120
Cs -2.073 3.591 -0.016
S 0.000 -0.090 5.609
Bi -2.073 1.213 4.120
S 6.318 -1.244 2.648
Bi 4.147 -2.378 4.136
Cs 2.073 3.591 -0.016
S 2.171 3.671 5.593
S 4.147 0.023 5.688
Cs 0.000 0.000 0.000
Np 0.000 -2.378 4.136
```

Output
The formation energy from raw total energies is -0.894 eV/atom. The size of the total moment comes out at 3.0 μB per cell. As for the space group: R-3m, No. 166.

=====

3.
TlAgSe2: optimized geometry, PBE.

Structure (extended XYZ):
```
4
Lattice="-1.250 -0.959 -4.315 3.900 -2.266 -0.626 -1.998 -3.834 1.431" Properties=species:S:1:pos:R:3 pbc="T T T"
Se 0.951 -3.050 0.402
Tl 1.325 -1.613 -2.471
Ag -1.624 -2.396 -1.442
Se 0.000 0.000 0.000
```

Output
The formation energy from raw total energies is 0.185 eV/atom. The size of the total moment comes out at 0.0 μB per cell. As for the space group: P4/mmm, No. 123.

=====

4.
TbScOs: optimized geometry, PBE.

Structure (extended XYZ):
```
18
Lattice="6.671 0.000 3.044 2.308 7.191 3.773 0.187 0.553 8.423" Properties=species:S:1:pos:R:3 pbc="T T T"
Sc 5.960 2.902 6.863
Os 4.881 6.453 11.441
Sc 7.208 6.774 12.961
Os 5.743 2.213 9.553
Os 6.804 5.532 7.229
Tb 2.379 3.927 2.919
Tb 2.978 2.213 8.292
Os 2.241 5.163 8.395
Tb 6.259 3.817 12.080
Os 3.634 2.581 5.343
Tb 4.039 5.532 5.967
Sc 4.914 4.842 9.156
Tb 1.318 0.608 5.243
Tb 7.319 7.136 9.755
Sc 0.026 0.000 0.012
Sc 3.666 0.971 3.058
Sc 1.274 3.872 6.110
Os 0.994 1.291 2.297
```

Output
The calculation puts the formation energy at -0.339 eV/atom. The value obtained for the energy above the most stable polymorph in this dataset is 0.000 eV/atom. The size of the total moment comes out at 0.0 μB per cell. As for the space group: P-62m, No. 189.

=====

5.
Co4MoSe: optimized geometry, PBE.

Structure (extended XYZ):
```
6
Lattice="-2.344 -2.191 -3.512 -4.636 0.843 -0.654 -1.456 2.474 -3.793" Properties=species:S:1:pos:R:3 pbc="T T T"
Mo -2.109 0.282 -1.990
Co -4.101 1.794 -3.222
Se 0.000 0.000 0.000
Co -2.961 0.284 -4.644
Co -4.543 -0.527 -3.082
Co -5.267 0.704 -4.970
```

Output
The formation energy from raw total energies is 0.381 eV/atom. The size of the total moment comes out at 4.3 μB per cell. As for the space group: F-43m, No. 216.

=====

6.
Li2PW: optimized geometry, PBE.

Structure (extended XYZ):
```
4
Lattice="2.586 0.000 0.000 0.000 2.586 0.000 0.000 0.000 8.634" Properties=species:S:1:pos:R:3 pbc="T T T"
W 1.293 1.293 6.476
Li 0.000 0.000 4.069
Li 0.000 0.000 0.248
P 1.293 1.293 2.159
```

Output
The calculation puts the formation energy at 0.119 eV/atom. The size of the total moment comes out at 0.0 μB per cell. As for the space group: P4/mmm, No. 123.

=====

7.
Ce5HoAs6: optimized geometry, PBE.

Structure (extended XYZ):
```
12
Lattice="7.188 0.175 1.092 1.765 6.094 3.553 0.121 0.065 7.271" Properties=species:S:1:pos:R:3 pbc="T T T"
Ce 0.629 2.055 3.605
Ce 5.104 5.183 5.940
Ho 0.000 0.000 0.000
Ce 4.477 3.135 2.322
As 6.728 4.719 3.495
As 5.597 0.654 3.517
As 2.853 3.644 4.759
As 2.225 1.550 1.150
Ce 3.970 1.152 5.976
Ce 1.257 4.104 7.219
As 6.221 2.690 7.156
As 3.477 5.680 8.399
```

Output
The calculation puts the formation energy at -1.438 eV/atom. The size of the total moment comes out at 3.6 μB per cell. As for the space group: C2/m, No. 12.

=====

8.
CeHoTh2S4: optimized geometry, PBE.

Structure (extended XYZ):
```
8
Lattice="-1.791 1.635 3.157 -2.707 -6.095 1.621 6.194 0.670 3.167" Properties=species:S:1:pos:R:3 pbc="T T T"
Th 1.744 -2.712 2.394
S 1.782 -3.227 5.192
Ho -2.249 -2.230 2.389
Ce 0.000 0.000 0.000
S -0.534 -4.352 1.951
Th 2.201 1.153 3.162
S 4.022 -1.073 2.837
S -0.086 -0.563 2.753
```

Output
The formation energy from raw total energies is -1.925 eV/atom. The size of the total moment comes out at 0.2 μB per cell. As for the space group: P2/m, No. 10.